1.
# La2BeSnPt6 (PBE, relaxed)
data_La2BeSnPt6
_chemical_formula_sum 'La2 Be1 Sn1 Pt6'
_symmetry_space_group_name_H-M 'P 1'
_symmetry_Int_Tables_number 1
_cell_length_a 5.9164
_cell_length_b 5.9164
_cell_length_c 7.5093
_cell_angle_alpha 113.10
_cell_angle_beta 113.10
_cell_angle_gamma 60.04
loop_
_symmetry_equiv_pos_as_xyz
'x,y,z'
loop_
_atom_site_label
_atom_site_type_symbol
_atom_site_fract_x
_atom_site_fract_y
_atom_site_fract_z
_atom_site_occupancy
La1 La 0.2328 0.2328 0.1974 1
La2 La 0.7672 0.7672 0.8026 1
Be1 Be 0.0000 0.0000 0.5000 1
Sn1 Sn 0.5000 0.5000 0.0000 1
Pt1 Pt 0.2351 0.2351 0.6845 1
Pt2 Pt 0.2352 0.7115 0.6826 1
Pt3 Pt 0.2885 0.7648 0.3174 1
Pt4 Pt 0.7115 0.2352 0.6826 1
Pt5 Pt 0.7648 0.2885 0.3174 1
Pt6 Pt 0.7649 0.7649 0.3155 1
# Calculated volume = 203.0 Å³/cell
# Formation energy from the elements = -817 meV per atom
# Total magnetic moment = 0.000 μB per atom


2.
# Sc3TiTl (PBE, relaxed)
data_Sc3TiTl
_chemical_formula_sum 'Sc3 Ti1 Tl1'
_symmetry_space_group_name_H-M 'P 1'
_symmetry_Int_Tables_number 1
_cell_length_a 5.3462
_cell_length_b 5.3462
_cell_length_c 5.3462
_cell_angle_alpha 90.00
_cell_angle_beta 90.00
_cell_angle_gamma 90.00
loop_
_symmetry_equiv_pos_as_xyz
'x,y,z'
loop_
_atom_site_label
_atom_site_type_symbol
_atom_site_fract_x
_atom_site_fract_y
_atom_site_fract_z
_atom_site_occupancy
Sc1 Sc 0.0000 0.0000 0.5000 1
Sc2 Sc 0.0000 0.5000 0.0000 1
Sc3 Sc 0.5000 0.0000 0.0000 1
Ti1 Ti 0.5000 0.5000 0.5000 1
Tl1 Tl 0.0000 0.0000 0.0000 1
# ΔE to the lowest computed polymorph = 29.63 kJ/mol of atoms
# Calculated volume = 152.8 Å³/cell
# Formation energy from the elements = 823 meV per atom
# Total magnetic moment = 0.964 μB per atom


3.
# CsLi2ZnNi (PBE, relaxed)
data_CsLi2ZnNi
_chemical_formula_sum 'Cs1 Li2 Zn1 Ni1'
_symmetry_space_group_name_H-M 'P 1'
_symmetry_Int_Tables_number 1
_cell_length_a 5.2715
_cell_length_b 5.2715
_cell_length_c 4.6859
_cell_angle_alpha 90.00
_cell_angle_beta 90.00
_cell_angle_gamma 90.00
loop_
_symmetry_equiv_pos_as_xyz
'x,y,z'
loop_
_atom_site_label
_atom_site_type_symbol
_atom_site_fract_x
_atom_site_fract_y
_atom_site_fract_z
_atom_site_occupancy
Cs1 Cs 0.0000 0.0000 0.0000 1
Li1 Li 0.0000 0.5000 0.5000 1
Li2 Li 0.5000 0.0000 0.5000 1
Zn1 Zn 0.5000 0.5000 0.5000 1
Ni1 Ni 0.5000 0.5000 0.0000 1
# Calculated volume = 130.2 Å³/cell
# Formation energy from the elements = 332 meV per atom
# Total magnetic moment = 0.000 μB per atom


4.
# TaInSi (PBE, relaxed)
data_TaInSi
_chemical_formula_sum 'Ta4 In4 Si4'
_symmetry_space_group_name_H-M 'P 1'
_symmetry_Int_Tables_number 1
_cell_length_a 2.8565
_cell_length_b 19.3894
_cell_length_c 4.3331
_cell_angle_alpha 90.00
_cell_angle_beta 90.00
_cell_angle_gamma 90.00
loop_
_symmetry_equiv_pos_as_xyz
'x,y,z'
loop_
_atom_site_label
_atom_site_type_symbol
_atom_site_fract_x
_atom_site_fract_y
_atom_site_fract_z
_atom_site_occupancy
Ta1 Ta 0.0000 0.1949 0.2500 1
Ta2 Ta 0.0000 0.8051 0.7500 1
Ta3 Ta 0.5000 0.3051 0.7500 1
Ta4 Ta 0.5000 0.6949 0.2500 1
In1 In 0.0000 0.4465 0.7500 1
In2 In 0.0000 0.5535 0.2500 1
In3 In 0.5000 0.0535 0.2500 1
In4 In 0.5000 0.9465 0.7500 1
Si1 Si 0.0000 0.3310 0.2500 1
Si2 Si 0.0000 0.6690 0.7500 1
Si3 Si 0.5000 0.1690 0.7500 1
Si4 Si 0.5000 0.8310 0.2500 1
# Calculated volume = 240.0 Å³/cell
# Formation energy without anion corrections = -0.0655 eV per atom
# Total magnetic moment = 0.000 μB per atom


5.
# Li2Pt2W (PBE, relaxed)
data_Li2Pt2W
_chemical_formula_sum 'Li4 Pt4 W2'
_symmetry_space_group_name_H-M 'P 1'
_symmetry_Int_Tables_number 1
_cell_length_a 7.0358
_cell_length_b 7.0358
_cell_length_c 2.7283
_cell_angle_alpha 90.00
_cell_angle_beta 90.00
_cell_angle_gamma 90.00
loop_
_symmetry_equiv_pos_as_xyz
'x,y,z'
loop_
_atom_site_label
_atom_site_type_symbol
_atom_site_fract_x
_atom_site_fract_y
_atom_site_fract_z
_atom_site_occupancy
Li1 Li 0.1045 0.3955 0.0000 1
Li2 Li 0.3955 0.8955 0.0000 1
Li3 Li 0.6045 0.1045 0.0000 1
Li4 Li 0.8955 0.6045 0.0000 1
Pt1 Pt 0.1960 0.6960 0.5000 1
Pt2 Pt 0.3040 0.1960 0.5000 1
Pt3 Pt 0.6960 0.8040 0.5000 1
Pt4 Pt 0.8040 0.3040 0.5000 1
W1 W 0.0000 0.0000 0.0000 1
W2 W 0.5000 0.5000 0.0000 1
# ΔE to the lowest computed polymorph = 0.00 kJ/mol of atoms
# Calculated volume = 135.1 Å³/cell
# Formation energy from the elements = -245 meV per atom
# Total magnetic moment = 0.000 μB per atom


6.
# Pm12Y5Tl2 (PBE, relaxed)
data_Pm12Y5Tl2
_chemical_formula_sum 'Pm12 Y5 Tl2'
_symmetry_space_group_name_H-M 'P 1'
_symmetry_Int_Tables_number 1
_cell_length_a 9.0849
_cell_length_b 9.0849
_cell_length_c 8.6398
_cell_angle_alpha 92.79
_cell_angle_beta 92.79
_cell_angle_gamma 62.06
loop_
_symmetry_equiv_pos_as_xyz
'x,y,z'
loop_
_atom_site_label
_atom_site_type_symbol
_atom_site_fract_x
_atom_site_fract_y
_atom_site_fract_z
_atom_site_occupancy
Pm1 Pm 0.0548 0.0548 0.3213 1
Pm2 Pm 0.0714 0.6807 0.3418 1
Pm3 Pm 0.1655 0.5358 0.7638 1
Pm4 Pm 0.3193 0.9286 0.6582 1
Pm5 Pm 0.4164 0.4164 0.1135 1
Pm6 Pm 0.4642 0.8345 0.2362 1
Pm7 Pm 0.5358 0.1655 0.7638 1
Pm8 Pm 0.5836 0.5836 0.8865 1
Pm9 Pm 0.6807 0.0714 0.3418 1
Pm10 Pm 0.8345 0.4642 0.2362 1
Pm11 Pm 0.9286 0.3193 0.6582 1
Pm12 Pm 0.9452 0.9452 0.6787 1
Y1 Y 0.1860 0.1860 0.0065 1
Y2 Y 0.2664 0.2664 0.4158 1
Y3 Y 0.5000 0.5000 0.5000 1
Y4 Y 0.7336 0.7336 0.5842 1
Y5 Y 0.8140 0.8140 0.9935 1
Tl1 Tl 0.1816 0.8184 0.0000 1
Tl2 Tl 0.8184 0.1816 0.0000 1
# Calculated volume = 629.0 Å³/cell
# Formation energy from the elements = 10 meV per atom
# Total magnetic moment = 0.000 μB per atom